Material: SrRuW2
Method: DFT, PBE
State: relaxed

* formation energy from the elements: 1.16 eV per atom
* calculated total energy: -8.057 eV/atom
* offset from the most stable computed form: 496 meV per atom

Cell: 5.682 5.682 2.735 Å, 90.00 90.00 122.65°
Positions (direct):
W 0.500 0.500 0.000
W 0.000 0.000 0.000
Sr 0.000 0.500 0.500
Ru 0.500 0.000 0.500